# 1
Material: NdY3Tm8
Method: DFT, PBE-GGA
State: optimized geometry

a = 8.3757 Å, b = 8.3815 Å, c = 8.3739 Å
α = 96.36°, β = 136.29°, γ = 99.59°
Closest atoms and distances in Å follow each position.
Atoms (fractional coordinates):
Tm: 0.8314 0.5814 0.7479  7 Tm 3.46-3.63, 4 Y 3.47-3.62, 1 Nd 3.49
Tm: 0.8371 0.1688 0.6686  7 Tm 3.46-3.65, 3 Y 3.50-3.58, 2 Nd 3.59-3.64
Tm: 0.8353 0.6671 0.1683  7 Tm 3.46-3.62, 4 Y 3.47-3.63, 1 Nd 3.60
Nd: 0.1631 0.9996 0.1633  10 Tm 3.49-3.64, 2 Y 3.51
Tm: 0.5004 0.3323 0.1681  7 Tm 3.46-3.62, 4 Y 3.48-3.63, 1 Nd 3.60
Y: 0.1636 0.4998 0.6639  10 Tm 3.47-3.63, 2 Y 3.49
Y: 0.5020 0.2510 0.7525  10 Tm 3.48-3.62, 1 Y 3.49, 1 Nd 3.51
Tm: 0.1670 0.9170 0.7481  7 Tm 3.46-3.63, 4 Y 3.48-3.62, 1 Nd 3.49
Y: 0.5023 0.7493 0.2511  10 Tm 3.47-3.62, 1 Y 3.49, 1 Nd 3.51
Tm: 0.1670 0.4190 0.2502  7 Tm 3.46-3.63, 4 Y 3.48-3.62, 1 Nd 3.50
Tm: 0.8317 0.0834 0.2498  7 Tm 3.47-3.63, 4 Y 3.48-3.62, 1 Nd 3.49
Tm: 0.4991 0.8312 0.6683  7 Tm 3.46-3.65, 3 Y 3.50-3.58, 2 Nd 3.59-3.64

Computed properties:
- ρ: 7.8 g/cm3
- E_form: 0.005 eV per atom
- SG: Cm (8)



# 2
Material: Nd8HgTe4Se3
Method: DFT, PBE-GGA
State: optimized geometry

a = 8.7322 Å, b = 8.8586 Å, c = 8.7319 Å
α = 119.53°, β = 120.00°, γ = 90.00°
Closest atoms and distances in Å follow each position.
Atoms (fractional coordinates):
Se: 0.5000 0.5000 0.0000  6 Nd 2.98-3.02
Te: 0.0000 0.0000 0.0000  6 Nd 3.21-3.25
Se: 0.5000 0.5000 0.5000  6 Nd 2.99-3.02
Nd: 0.2603 0.2793 0.5206  3 Se 2.98-2.99, 3 Te 3.24-3.25
Nd: 0.2465 0.7315 0.9854  2 Se 3.02, 1 Hg 3.06, 3 Te 3.16-3.21
Te: 0.0000 0.0000 0.5000  6 Nd 3.20-3.24
Nd: 0.7535 0.2685 0.0146  2 Se 3.02, 1 Hg 3.06, 3 Te 3.16-3.21
Nd: 0.7389 0.7315 0.9854  2 Se 3.02, 1 Hg 3.06, 3 Te 3.16-3.21
Nd: 0.2611 0.2685 0.0146  2 Se 3.02, 1 Hg 3.06, 3 Te 3.16-3.21
Nd: 0.7539 0.2700 0.5078  2 Se 3.01, 1 Hg 3.06, 3 Te 3.16-3.21
Te: 0.5000 0.0000 0.5000  6 Nd 3.20-3.24
Se: 0.0000 0.5000 0.5000  6 Nd 2.99-3.02
Nd: 0.7397 0.7207 0.4794  3 Se 2.98-2.99, 3 Te 3.24-3.25
Nd: 0.2461 0.7300 0.4922  2 Se 3.01, 1 Hg 3.06, 3 Te 3.16-3.21
Hg: 0.0000 0.5000 0.0000  6 Nd 3.06
Te: 0.5000 0.0000 0.0000  6 Nd 3.16

Computed properties:
- ρ: 7.3 g/cm3
- SG: C2/m (12)



# 3
Material: Ac2AsOs
Method: DFT, PBE-GGA
State: optimized geometry

a = 5.3714 Å, b = 5.3714 Å, c = 5.3714 Å
α = 60.00°, β = 60.00°, γ = 60.00°
Closest atoms and distances in Å follow each position.
Atoms (fractional coordinates):
Ac: 0.2500 0.2500 0.2500  4 As 3.29, 4 Os 3.29
Os: 0.0000 0.0000 0.0000  8 Ac 3.29
Ac: 0.7500 0.7500 0.7500  4 As 3.29, 4 Os 3.29
As: 0.5000 0.5000 0.5000  8 Ac 3.29

Computed properties:
- ρ: 10.9 g/cm3
- E_form: -0.201 eV per atom
- SG: Fm-3m (225)



# 4
Material: Tb7Y4Ho
Method: DFT, PBE-GGA
State: optimized geometry

a = 7.1875 Å, b = 9.4989 Å, c = 8.8517 Å
α = 81.11°, β = 90.02°, γ = 40.92°
Closest atoms and distances in Å follow each position.
Atoms (fractional coordinates):
Y: 0.7221 0.7779 0.6665  4 Y 3.53-3.60, 8 Tb 3.53-3.60
Y: 0.4712 0.2796 0.6664  8 Tb 3.53-3.61, 1 Ho 3.54, 3 Y 3.54-3.60
Y: 0.2779 0.2221 0.3335  4 Y 3.53-3.60, 8 Tb 3.53-3.60
Tb: 0.7789 0.2209 0.3336  6 Tb 3.52-3.60, 1 Ho 3.54, 5 Y 3.54-3.60
Tb: 0.5000 0.0000 0.0000  6 Tb 3.54-3.60, 4 Y 3.54, 2 Ho 3.59
Tb: 0.2492 0.5009 0.0008  7 Tb 3.53-3.60, 3 Y 3.53-3.55, 2 Ho 3.58-3.60
Tb: 0.0279 0.7231 0.3331  1 Ho 3.53, 6 Y 3.53-3.61, 5 Tb 3.53-3.60
Ho: 0.0000 0.0000 0.0000  10 Tb 3.53-3.60, 2 Y 3.54
Tb: 0.9721 0.2769 0.6669  1 Ho 3.53, 6 Y 3.53-3.61, 5 Tb 3.53-3.60
Tb: 0.2211 0.7791 0.6664  6 Tb 3.52-3.60, 1 Ho 3.54, 5 Y 3.54-3.60
Y: 0.5288 0.7204 0.3336  8 Tb 3.53-3.61, 1 Ho 3.54, 3 Y 3.54-3.60
Tb: 0.7508 0.4991 0.9992  7 Tb 3.53-3.60, 3 Y 3.53-3.55, 2 Ho 3.58-3.60

Computed properties:
- ρ: 7.1 g/cm3
- E_form: 0.000 eV per atom
- SG: P-1 (2)



# 5
Material: Cs2KNaTl
Method: DFT, PBE-GGA
State: optimized geometry

a = 7.5430 Å, b = 7.5430 Å, c = 6.3143 Å
α = 90.00°, β = 90.00°, γ = 90.00°
Closest atoms and distances in Å follow each position.
Atoms (fractional coordinates):
Cs: 0.5000 0.0000 0.0000  2 Tl 3.77
Cs: 0.0000 0.5000 0.0000  2 Tl 3.77
Na: 0.0000 0.0000 0.5000  2 Tl 3.16
K: 0.5000 0.5000 0.5000  8 Cs 4.92, 4 Na 5.33
Tl: 0.0000 0.0000 0.0000  2 Na 3.16

Computed properties:
- ρ: 2.5 g/cm3
- E_form: 0.066 eV per atom
- SG: P4/mmm (123)



# 6
Material: CoCu2Ni8
Method: DFT, PBE-GGA
State: optimized geometry

a = 3.5382 Å, b = 5.5871 Å, c = 6.6129 Å
α = 104.67°, β = 105.52°, γ = 90.00°
Closest atoms and distances in Å follow each position.
Atoms (fractional coordinates):
Ni: 0.4116 0.5499 0.8232  8 Ni 2.46-2.53, 1 Co 2.47, 3 Cu 2.52-2.53
Ni: 0.1336 0.1742 0.2672  7 Ni 2.46-2.53, 2 Co 2.47, 3 Cu 2.54
Ni: 0.6807 0.9097 0.3614  8 Ni 2.48-2.53, 1 Co 2.48, 3 Cu 2.50-2.51
Ni: 0.8664 0.8258 0.7328  7 Ni 2.46-2.53, 2 Co 2.47, 3 Cu 2.54
Ni: 0.3193 0.0903 0.6386  8 Ni 2.48-2.53, 1 Co 2.48, 3 Cu 2.50-2.51
Cu: 0.2266 0.6359 0.4532  10 Ni 2.50-2.54, 2 Cu 2.50
Ni: 0.9560 0.2729 0.9121  9 Ni 2.46-2.51, 2 Co 2.49, 1 Cu 2.51
Co: 0.5000 0.0000 0.0000  12 Ni 2.47-2.49
Ni: 0.0440 0.7271 0.0879  9 Ni 2.46-2.51, 2 Co 2.49, 1 Cu 2.51
Ni: 0.5884 0.4501 0.1768  8 Ni 2.46-2.53, 1 Co 2.47, 3 Cu 2.52-2.53
Cu: 0.7734 0.3641 0.5468  10 Ni 2.50-2.54, 2 Cu 2.50

Computed properties:
- ρ: 9.0 g/cm3
- E_form: 0.021 eV per atom
- SG: C2/m (12)



# 7
Material: GeRuRh
Method: DFT, PBE-GGA
State: optimized geometry

a = 6.7695 Å, b = 2.9042 Å, c = 9.3077 Å
α = 90.00°, β = 104.26°, γ = 90.00°
Closest atoms and distances in Å follow each position.
Atoms (fractional coordinates):
Ge: 0.2301 0.0000 0.9151  4 Rh 2.45-2.66, 4 Ru 2.65-2.67
Rh: 0.8580 0.5000 0.3217  4 Ge 2.45-2.66, 2 Ru 2.72
Rh: 0.8580 0.0000 0.8217  4 Ge 2.45-2.66, 2 Ru 2.72
Ru: 0.4599 0.0000 0.6301  5 Ru 2.61-2.90, 4 Ge 2.65-2.67, 3 Rh 2.72-2.84
Ru: 0.5401 0.5000 0.8699  5 Ru 2.61-2.90, 4 Ge 2.65-2.67, 3 Rh 2.72-2.84
Rh: 0.1420 0.5000 0.6783  4 Ge 2.45-2.66, 2 Ru 2.72
Ru: 0.4599 0.5000 0.1301  5 Ru 2.61-2.90, 4 Ge 2.65-2.67, 3 Rh 2.72-2.84
Ge: 0.7699 0.0000 0.0849  4 Rh 2.45-2.66, 4 Ru 2.65-2.67
Ru: 0.5401 0.0000 0.3699  5 Ru 2.61-2.90, 4 Ge 2.65-2.67, 3 Rh 2.72-2.84
Rh: 0.1420 0.0000 0.1783  4 Ge 2.45-2.66, 2 Ru 2.72
Ge: 0.2301 0.5000 0.4151  4 Rh 2.45-2.66, 4 Ru 2.65-2.67
Ge: 0.7699 0.5000 0.5849  4 Rh 2.45-2.66, 4 Ru 2.65-2.67

Computed properties:
- ρ: 10.4 g/cm3
- E_form: -0.183 eV per atom
- SG: C2/m (12)



# 8
Material: BPRhCS
Method: DFT, PBE-GGA
State: optimized geometry

a = 5.7721 Å, b = 2.9194 Å, c = 7.7464 Å
α = 90.00°, β = 102.91°, γ = 90.00°
Closest atoms and distances in Å follow each position.
Atoms (fractional coordinates):
P: 0.3254 0.0000 0.7655  2 C 1.86, 1 B 1.92
P: 0.3254 0.5000 0.2655  2 C 1.86, 1 B 1.92
C: 0.1791 0.5000 0.8449  1 B 1.63, 1 S 1.80
Rh: 0.6441 0.0000 0.9963  2 B 2.17, 1 P 2.26
S: 0.8601 0.5000 0.8048  1 C 1.80
B: 0.3796 0.0000 0.5302  1 C 1.63
B: 0.3796 0.5000 0.0302  1 C 1.63
C: 0.1791 0.0000 0.3449  1 B 1.63, 1 S 1.80
S: 0.8601 0.0000 0.3048  1 C 1.80
Rh: 0.6441 0.5000 0.4963  2 B 2.17, 1 P 2.26

Computed properties:
- ρ: 4.9 g/cm3
- SG: Cm (8)



# 9
Material: Y3BiC
Method: DFT, PBE-GGA
State: optimized geometry

a = 6.9797 Å, b = 9.8644 Å, c = 4.9489 Å
α = 90.00°, β = 90.00°, γ = 135.09°
Closest atoms and distances in Å follow each position.
Atoms (fractional coordinates):
Y: 0.8944 0.7736 0.5345  2 C 2.47
Y: 0.9692 0.3111 0.5345  2 C 2.47
C: 0.9318 0.5424 0.5344  6 Y 2.47
Y: 0.9318 0.5424 0.0344  2 C 2.47
Y: 0.4319 0.8112 0.5345  2 C 2.47
Y: 0.4317 0.2736 0.5343  2 C 2.47
Y: 0.9318 0.0424 0.0345  2 C 2.47
C: 0.9318 0.0424 0.5345  6 Y 2.47
Bi: 0.4318 0.0424 0.0343  12 Y 3.36-3.62
Bi: 0.4318 0.5424 0.0346  12 Y 3.36-3.63

Computed properties:
- ρ: 6.7 g/cm3
- E_form: -0.564 eV per atom
- SG: P2/m (10)



# 10
Material: Ag2RhAu
Method: DFT, PBE-GGA
State: optimized geometry

a = 3.9970 Å, b = 3.9970 Å, c = 4.2426 Å
α = 90.00°, β = 90.00°, γ = 90.00°
Closest atoms and distances in Å follow each position.
Atoms (fractional coordinates):
Au: 0.5000 0.5000 0.5000  4 Rh 2.83, 8 Ag 2.91
Rh: 0.0000 0.0000 0.5000  4 Au 2.83, 8 Ag 2.91
Ag: 0.0000 0.5000 0.0000  4 Ag 2.83, 4 Rh 2.91, 4 Au 2.91
Ag: 0.5000 0.0000 0.0000  4 Ag 2.83, 4 Au 2.91, 4 Rh 2.91

Computed properties:
- ρ: 12.6 g/cm3
- E_form: 0.179 eV per atom
- SG: P4/mmm (123)



# 11
Material: LaZr2PdS
Method: DFT, PBE-GGA
State: optimized geometry

a = 4.9861 Å, b = 5.9597 Å, c = 4.9861 Å
α = 90.00°, β = 90.00°, γ = 90.00°
Closest atoms and distances in Å follow each position.
Atoms (fractional coordinates):
Pd: 0.0000 0.0000 0.0000  4 Zr 2.49
Zr: 0.5000 0.0000 0.0000  2 Pd 2.49
S: 0.5000 0.5000 0.5000  4 La 3.53, 8 Zr 3.89
Zr: 0.0000 0.0000 0.5000  2 Pd 2.49
La: 0.0000 0.5000 0.0000  2 Pd 2.98

Computed properties:
- ρ: 5.2 g/cm3
- SG: P4/mmm (123)



# 12
Material: Ac2NiSb4Pd3
Method: DFT, PBE-GGA
State: optimized geometry

a = 4.7103 Å, b = 4.7103 Å, c = 10.6418 Å
α = 90.00°, β = 90.00°, γ = 90.00°
Closest atoms and distances in Å follow each position.
Atoms (fractional coordinates):
Pd: 0.0000 0.5000 0.1287  5 Sb 2.67-2.72
Ac: 0.5000 0.0000 0.2632  2 Ni 3.45, 6 Pd 3.45-3.63, 9 Sb 3.55-3.80
Pd: 0.5000 0.0000 0.8713  5 Sb 2.67-2.72
Sb: 0.5000 0.5000 0.0000  4 Pd 2.72
Pd: 0.0000 0.0000 0.5000  4 Sb 2.68
Sb: 0.5000 0.0000 0.6205  3 Pd 2.67-2.68, 2 Ni 2.68
Sb: 0.0000 0.0000 0.0000  4 Pd 2.72
Sb: 0.0000 0.5000 0.3795  3 Pd 2.67-2.68, 2 Ni 2.68
Ni: 0.5000 0.5000 0.5000  4 Sb 2.68
Ac: 0.0000 0.5000 0.7368  2 Ni 3.45, 6 Pd 3.45-3.63, 9 Sb 3.55-3.80

Computed properties:
- ρ: 9.3 g/cm3
- SG: P-4m2 (115)



no.,VASP energy (eV/atom)
1,-4.990
2,-5.321
3,-6.225
4,-5.237
5,-1.232
6,-5.574
7,-7.265
8,-6.495
9,-7.063
10,-3.903
11,-6.095
12,-5.427